# PBE ScTi4Se8, optimized geometry
# * raw formation energy: -16.26 eV/f.u.
data_ScTi4Se8
_chemical_formula_sum 'Sc3 Ti12 Se24'
_cell_length_a 7.1953
_cell_length_b 7.1953
_cell_length_c 19.0877
_cell_angle_alpha 90.00
_cell_angle_beta 90.00
_cell_angle_gamma 120.00
_symmetry_space_group_name_H-M 'R -3 m'
_symmetry_Int_Tables_number 166
_symmetry_space_group_name_Hall '-R 3 2"'
loop_
_atom_site_label
_atom_site_type_symbol
_atom_site_fract_x
_atom_site_fract_y
_atom_site_fract_z
_atom_site_occupancy
Sc1 Sc 0.0000 0.0000 0.0000 1
Ti1 Ti 0.0000 0.0000 0.5000 1
Ti2 Ti 0.0000 0.5000 0.5000 1
Se1 Se 0.0000 0.0000 0.2454 1
Se2 Se 0.0068 0.5034 0.2485 1